Record 1
Ac3Zn8Au3 | PBE-GGA | relaxed

```
Ac3Zn8Au3
1.0
8.311 -2.306 0.000
8.311 2.306 0.000
-5.286 0.000 7.838
Ac Zn Au
3 8 3
Cartesian
0.000 0.000 0.000 Ac
3.338 0.000 2.326 Ac
7.998 0.000 5.512 Ac
0.010 0.000 3.273 Zn
-2.237 0.000 6.628 Zn
1.998 0.000 5.399 Zn
4.652 0.000 5.370 Zn
6.684 0.000 2.469 Zn
9.338 0.000 2.439 Zn
13.572 0.000 1.210 Zn
11.326 0.000 4.566 Zn
-2.643 0.000 3.919 Au
0.558 0.000 7.727 Au
10.778 0.000 0.112 Au
```

## Properties
Space-group type: No. 12
Crystal system: monoclinic
Total magnetic moment: 0.00 μB/f.u.
ρ: 9.9 g/cm³

Record 2
Ac3ZnAu3 | PBE-GGA | relaxed

```
Ac3ZnAu3
1.0
-2.091 2.345 10.390
2.091 -2.345 10.390
2.091 2.345 -10.390
Ac Zn Au
3 1 3
Cartesian
0.000 0.000 0.000 Ac
0.000 0.000 7.591 Ac
0.000 2.345 3.698 Ac
2.091 0.000 5.131 Zn
2.091 0.000 2.516 Au
0.000 0.000 11.048 Au
0.000 0.000 17.021 Au
```

## Properties
Space-group type: No. 44
Offset from the most stable computed form: 0.0 meV/atom
Crystal system: orthorhombic
Total magnetic moment: 0.00 μB/f.u.
ρ: 10.9 g/cm³

Record 3
AcZn2Au6 | PBE-GGA | relaxed

```
AcZn2Au6
1.0
0.000 6.001 6.001
6.001 0.000 6.001
6.001 6.001 0.000
Ac Zn Au
2 4 12
Cartesian
1.500 1.500 1.500 Ac
10.502 10.502 10.502 Ac
6.001 3.001 3.001 Zn
3.001 6.001 3.001 Zn
3.001 3.001 6.001 Zn
6.001 6.001 6.001 Zn
4.501 4.501 1.579 Au
4.501 1.579 4.501 Au
7.423 4.501 4.501 Au
7.501 7.501 4.579 Au
7.501 4.579 7.501 Au
10.424 7.501 7.501 Au
1.579 4.501 4.501 Au
4.501 7.423 4.501 Au
4.501 4.501 7.423 Au
4.579 7.501 7.501 Au
7.501 10.424 7.501 Au
7.501 7.501 10.424 Au
```

## Properties
Space-group type: No. 227
Offset from the most stable computed form: 129.8 meV/atom
Crystal system: cubic
Total magnetic moment: 0.00 μB/f.u.
ρ: 11.8 g/cm³

Record 4
Ac2ZnAu | PBE-GGA | relaxed

```
Ac2ZnAu
1.0
0.000 3.915 3.915
3.915 0.000 3.915
3.915 3.915 0.000
Ac Zn Au
2 1 1
Cartesian
1.957 1.957 1.957 Ac
5.872 5.872 5.872 Ac
0.000 0.000 0.000 Zn
3.915 3.915 3.915 Au
```

## Properties
Space-group type: No. 225
Crystal system: cubic
Total magnetic moment: 0.00 μB/f.u.
ρ: 9.9 g/cm³

Record 5
AcZnAu | PBE-GGA | relaxed

```
AcZnAu
1.0
0.000 3.538 3.538
3.538 0.000 3.538
3.538 3.538 0.000
Ac Zn Au
1 1 1
Cartesian
0.000 0.000 0.000 Ac
3.538 3.538 3.538 Zn
1.769 1.769 1.769 Au
```

## Properties
Space-group type: No. 216
Offset from the most stable computed form: 195.6 meV/atom
Crystal system: cubic
Total magnetic moment: 0.00 μB/f.u.
ρ: 9.2 g/cm³

Record 6
Ac4ZnAu | PBE-GGA | relaxed

```
Ac4ZnAu
1.0
3.935 0.000 0.000
0.000 3.935 0.000
0.000 0.000 13.690
Ac Zn Au
4 1 1
Cartesian
0.000 0.000 1.902 Ac
0.000 0.000 11.788 Ac
1.968 1.968 4.940 Ac
1.968 1.968 8.750 Ac
0.000 0.000 6.845 Zn
1.968 1.968 0.000 Au
```

## Properties
Space-group type: No. 123
Offset from the most stable computed form: 0.0 meV/atom
Crystal system: tetragonal
Total magnetic moment: 0.00 μB/f.u.
ρ: 9.2 g/cm³

| no. | energy (eV per atom) | DFT formation energy (eV per atom) |
| --- | --- | --- |
| 1 | -2.750 | -0.439 |
| 2 | -4.059 | -0.711 |
| 3 | -3.094 | -0.169 |
| 4 | -3.696 | -0.504 |
| 5 | -3.340 | -0.453 |
| 6 | -3.821 | -0.323 |